1.
Computed, not measured: crystalline Ca3NdS4 at its relaxed geometry at the PBE level of DFT.

Values from the calculation:
Its density is 3.49 g/cm³. Its total energy is -5.504 eV per atom. Its symmetry is Cmmm, No. 65. The formation energy without anion corrections is -2.09 eV per atom. The energy above the most stable polymorph in this dataset is 0.00 eV/f.u.

Geometry as POSCAR:
```
Ca3NdS4
1.0
-1.655 -3.424 1.349
6.254 -3.150 -0.322
-0.828 2.894 6.330
Ca S Nd
3 4 1
direct
0.000 0.000 0.500
0.500 0.500 0.500
0.000 0.500 0.000
0.500 0.251 0.749
0.000 0.747 0.747
0.500 0.749 0.251
0.000 0.253 0.253
0.500 0.000 0.000
```

***

2.
Computed, not measured: crystalline Pm3Nd4ScSe8 at its relaxed geometry at the PBE level of DFT.

Values from the calculation:
Its density is 6.78 g/cm³. Its total energy is -6.007 eV per atom. Its symmetry is R-3m, No. 166. The formation energy without anion corrections is -1.79 eV per atom.

Geometry as POSCAR:
```
Pm3Nd4ScSe8
1.0
-5.081 6.116 2.541
-4.956 -5.652 3.693
8.126 0.270 1.888
Se Nd Sc Pm
8 4 1 3
direct
0.242 0.262 0.002
0.749 0.747 0.498
0.760 0.262 0.521
0.251 0.253 0.502
0.758 0.738 0.998
0.240 0.738 0.998
0.240 0.738 0.479
0.760 0.262 0.002
0.000 0.000 0.500
0.000 0.000 0.000
0.500 0.000 0.000
0.500 0.000 0.500
0.000 0.500 0.000
0.000 0.500 0.500
0.500 0.500 0.000
0.500 0.500 0.500
```

***

3.
Computed, not measured: crystalline Pm3HoEr at its relaxed geometry at the PBE level of DFT.

Values from the calculation:
Its density is 7.46 g/cm³. Its total energy is -4.509 eV per atom. Its symmetry is Pbcm, No. 57. The energy above the most stable polymorph in this dataset is 0.61 eV/f.u. The calculation puts the energy relative to the elements at 0.8 eV per formula unit.

Geometry as POSCAR:
```
Pm3HoEr
1.0
3.560 0.000 0.000
0.000 10.984 0.000
0.000 0.000 17.479
Er Ho Pm
4 4 12
direct
0.754 0.250 0.225
0.246 0.250 0.725
0.246 0.750 0.775
0.754 0.750 0.275
0.255 0.750 0.101
0.745 0.250 0.899
0.745 0.750 0.601
0.255 0.250 0.399
0.752 0.444 0.076
0.248 0.944 0.924
0.248 0.056 0.576
0.248 0.444 0.576
0.752 0.056 0.076
0.747 0.000 0.750
0.253 0.500 0.250
0.253 0.000 0.250
0.752 0.944 0.424
0.248 0.556 0.924
0.752 0.556 0.424
0.747 0.500 0.750
```

***

4.
Computed, not measured: crystalline SrLa2Zn2Si2 at its relaxed geometry at the PBE level of DFT.

Values from the calculation:
Its density is 4.87 g/cm³. Its total energy is -3.962 eV per atom. Its symmetry is R-3m, No. 166. The formation energy without anion corrections is -0.40 eV per atom.

Geometry as POSCAR:
```
SrLa2Zn2Si2
1.0
-4.003 1.300 -0.156
-2.598 -1.529 -2.941
-5.445 -9.157 6.555
La Si Zn Sr
2 2 2 1
direct
0.121 0.121 0.638
0.879 0.879 0.362
0.731 0.731 0.806
0.269 0.269 0.194
0.602 0.602 0.195
0.398 0.398 0.805
0.000 0.000 0.000
```

***

5.
Computed, not measured: crystalline KSr2V at its relaxed geometry at the PBE level of DFT.

Values from the calculation:
Its density is 2.65 g/cm³. Its total energy is -2.711 eV per atom. Its symmetry is Fm-3m, No. 225. The energy above the most stable polymorph in this dataset is 0.00 eV/f.u. The calculation puts the energy relative to the elements at 2.7 eV per formula unit.

Geometry as POSCAR:
```
KSr2V
1.0
3.561 -1.160 4.904
-2.458 -0.032 5.660
-0.612 -5.319 3.068
K Sr V
1 2 1
direct
0.000 0.000 0.000
0.750 0.750 0.750
0.250 0.250 0.250
0.500 0.500 0.500
```

***

6.
Computed, not measured: crystalline Dy2Zn4CdGa3 at its relaxed geometry at the PBE level of DFT.

Values from the calculation:
Its density is 7.91 g/cm³. Its total energy is -2.800 eV per atom. Its symmetry is P-4m2, No. 115. The calculation puts the energy relative to the elements at -3.7 eV per formula unit.

Geometry as POSCAR:
```
Dy2Zn4CdGa3
1.0
4.189 0.000 0.000
0.000 4.189 0.000
0.000 0.000 10.859
Cd Dy Ga Zn
1 2 3 4
direct
0.500 0.500 0.500
0.500 0.000 0.237
0.000 0.500 0.763
0.500 0.000 0.867
0.000 0.000 0.500
0.000 0.500 0.133
0.000 0.500 0.353
0.000 0.000 0.000
0.500 0.500 0.000
0.500 0.000 0.647
```

***

7.
Computed, not measured: crystalline ReTc at its relaxed geometry at the PBE level of DFT.

Values from the calculation:
Its density is 15.98 g/cm³. Its total energy is -11.404 eV per atom. Its symmetry is Cm, No. 8. The energy above the most stable polymorph in this dataset is 0.02 eV/f.u. The calculation puts the energy relative to the elements at 0.0 eV per formula unit.

Geometry as POSCAR:
```
ReTc
1.0
-0.347 -6.960 2.261
1.177 1.204 2.194
-3.518 3.485 1.718
Tc Re
3 3
direct
0.056 0.279 0.498
0.391 0.944 0.504
0.665 0.333 0.999
0.722 0.610 0.501
0.332 0.668 0.997
0.001 0.000 0.002
```

***

8.
Computed, not measured: crystalline BaCuAs2 at its relaxed geometry at the PBE level of DFT.

Values from the calculation:
Its density is 5.21 g/cm³. Its total energy is -4.251 eV per atom. Its symmetry is Cm, No. 8. The calculation puts the energy relative to the elements at -1.7 eV per formula unit.

Geometry as POSCAR:
```
BaCuAs2
1.0
5.798 0.032 -0.106
4.372 3.808 -0.106
1.187 0.448 5.068
As Ba Cu
2 1 1
direct
0.055 0.055 0.969
0.275 0.275 0.086
0.479 0.479 0.501
0.690 0.690 0.944
```

***

9.
Computed, not measured: crystalline Be9Al2Mo at its relaxed geometry at the PBE level of DFT.

Values from the calculation:
Its density is 3.34 g/cm³. Its total energy is -4.432 eV per atom. Its symmetry is R-3m, No. 166. The calculation puts the energy relative to the elements at -1.3 eV per formula unit.

Geometry as POSCAR:
```
Be9Al2Mo
1.0
-2.609 -3.537 -0.177
-0.759 -1.983 -3.852
4.308 -5.897 -0.324
Be Al Mo
9 2 1
direct
0.332 0.332 0.005
0.420 0.919 0.242
0.081 0.580 0.758
0.919 0.420 0.242
0.420 0.420 0.242
0.580 0.580 0.758
0.500 0.500 0.500
0.668 0.668 0.995
0.580 0.081 0.758
0.861 0.861 0.417
0.139 0.139 0.583
0.000 0.000 0.000
```

***

10.
Computed, not measured: crystalline KScNb2Pd at its relaxed geometry at the PBE level of DFT.

Values from the calculation:
Its density is 4.62 g/cm³. Its total energy is -5.279 eV per atom. Its symmetry is P4/mmm, No. 123. The calculation puts the energy relative to the elements at 6.4 eV per formula unit.

Geometry as POSCAR:
```
KScNb2Pd
1.0
4.960 0.000 0.000
0.000 5.500 0.000
0.000 0.000 4.960
Pd K Nb Sc
1 1 2 1
direct
0.000 0.000 0.000
0.000 0.500 0.000
0.500 0.000 0.000
0.000 0.000 0.500
0.500 0.500 0.500
```

***

11.
Computed, not measured: crystalline SrTa2P at its relaxed geometry at the PBE level of DFT.

Values from the calculation:
Its density is 8.50 g/cm³. Its total energy is -7.813 eV per atom. Its symmetry is Amm2, No. 38. The calculation puts the energy relative to the elements at -0.5 eV per formula unit.

Geometry as POSCAR:
```
SrTa2P
1.0
-0.684 2.118 6.198
-2.810 -1.904 -5.643
-0.028 -3.951 1.347
Ta Sr P
2 1 1
direct
0.331 0.669 0.500
0.857 0.143 0.000
0.594 0.406 0.500
0.210 0.790 0.000
```

***

12.
Computed, not measured: crystalline SrSc4Fe at its relaxed geometry at the PBE level of DFT.

Values from the calculation:
Its density is 3.34 g/cm³. Its total energy is -5.268 eV per atom. Its symmetry is F-43m, No. 216. The calculation puts the energy relative to the elements at 3.9 eV per formula unit.

Geometry as POSCAR:
```
SrSc4Fe
1.0
-5.192 -3.119 0.735
-5.091 2.906 1.693
-4.573 0.709 -3.975
Sr Sc Fe
1 4 1
direct
0.750 0.750 0.750
0.882 0.373 0.373
0.373 0.882 0.373
0.373 0.373 0.373
0.373 0.373 0.882
0.000 0.000 0.000
```